(1)
Density functional theory data (PBE-GGA) for AlHSe2 after structural relaxation.

Cell: 8.1686 5.4702 7.7395 Å, 90.00 108.66 90.00°
Last column: nearest neighbours and their distance in Å.
Space group P2_1/c (No. 14)
Symmetry-distinct sites (fractional):
Al1 0.0736 0.1862 0.1921  2 H 1.71-1.73
H1 0.0323 0.0085 0.7029  2 Al 1.71-1.73
Se1 0.2170 0.6608 0.5721  1 Se 2.43, 2 Al 2.56-2.59
Se2 0.2874 0.2425 0.5150  1 Se 2.43, 2 Al 2.57

Summary:
polymorph energy (0 for the lowest one): 255 meV per atom
volume: 20.5 A^3/atom
calculated total energy: -3.81 eV/atom
magnetic moment: 0.000 μB/atom

---

(2)
Density functional theory data (PBE-GGA) for Rb3H4Se after structural relaxation.

Cell: 20.0304 4.4767 5.7080 Å, 90.00 105.62 90.00°
Last column: nearest neighbours and their distance in Å.
Space group C2/m (No. 12)
Symmetry-distinct sites (fractional):
Rb1 0.0000 0.0000 0.0000  8 H 3.00-3.25
Rb2 0.1413 0.0000 0.6321  4 H 3.13-3.40
H1 0.0928 0.5000 0.9335  1 H 0.78
H2 0.1213 0.5000 0.0566  1 H 0.78
Se1 0.0000 0.5000 0.5000  2 H 2.66

Summary:
polymorph energy (0 for the lowest one): 0 meV per atom
volume: 30.8 A^3/atom
calculated total energy: -2.82 eV/atom
magnetic moment: 0.000 μB/atom

---

(3)
Density functional theory data (PBE-GGA) for FeNiW2 after structural relaxation.

Cell: 6.6387 6.6387 5.2394 Å, 90.00 90.00 90.00°
Last column: nearest neighbours and their distance in Å.
Space group I-42d (No. 122)
Symmetry-distinct sites (fractional):
Fe1 0.0000 0.0000 0.0000  4 W 2.37, 2 Ni 2.62
Ni1 0.0000 0.0000 0.5000  4 W 2.51, 2 Fe 2.62
W1 0.2340 0.2500 0.1250  2 Fe 2.37, 2 Ni 2.51, 2 W 2.63

Summary:
polymorph energy (0 for the lowest one): 593 meV per atom
energy of formation: 668 meV/atom
volume: 14.4 A^3/atom
calculated total energy: -9.37 eV/atom
magnetic moment: 0.000 μB/atom

---

(4)
Density functional theory data (PBE-GGA) for Ac2PrDyTe6 after structural relaxation.

Cell: 8.1694 8.1694 21.4855 Å, 90.00 90.00 120.00°
Last column: nearest neighbours and their distance in Å.
Space group R3 (No. 146, hexagonal axes)
Symmetry-distinct sites (fractional):
Ac1 0.0000 0.0000 0.0000  6 Te 3.31-3.38
Ac2 0.0000 0.0000 0.4987  6 Te 3.32-3.37
Pr1 0.0000 0.0000 0.2003  6 Te 3.16-3.22
Dy1 0.0000 0.0000 0.6987  6 Te 3.07-3.11
Te1 0.0471 0.3437 0.7724  1 Dy 3.07, 1 Pr 3.22, 2 Ac 3.32-3.38
Te2 0.0522 0.6951 0.2746  1 Dy 3.11, 1 Pr 3.16, 2 Ac 3.31-3.37

Summary:
volume: 41.4 A^3/atom
calculated total energy: -5.09 eV/atom
magnetic moment: 0.000 μB/atom

---

(5)
Density functional theory data (PBE-GGA) for LaPr8Pb2 after structural relaxation.

Cell: 17.9719 6.9071 6.5367 Å, 90.00 105.26 90.00°
Last column: nearest neighbours and their distance in Å.
Space group C2/m (No. 12)
Symmetry-distinct sites (fractional):
La1 0.0000 0.0000 0.0000  10 Pr 3.61-3.84
Pr1 0.0822 0.5000 0.9260  1 Pb 3.25, 3 Pr 3.34-3.50
Pr2 0.1019 0.2486 0.4776  2 Pb 3.31-3.40, 3 Pr 3.43-3.50, 1 La 3.61
Pr3 0.2168 0.0000 0.1413  4 Pb 3.29-3.62
Pb1 0.2384 0.5000 0.3151  9 Pr 3.25-3.62

Summary:
energy of formation: -139 meV/atom
volume: 35.6 A^3/atom
calculated total energy: -4.74 eV/atom
magnetic moment: 0.000 μB/atom

---

(6)
Density functional theory data (PBE-GGA) for Sc2FeCuOs after structural relaxation.

Cell: 5.0159 5.0159 4.4398 Å, 90.00 90.00 90.00°
Last column: nearest neighbours and their distance in Å.
Space group P4/mmm (No. 123)
Symmetry-distinct sites (fractional):
Sc1 0.0000 0.5000 0.0000  2 Os 2.51
Fe1 0.0000 0.0000 0.5000  2 Os 2.22
Cu1 0.5000 0.5000 0.5000  8 Sc 3.35, 4 Fe 3.55
Os1 0.0000 0.0000 0.0000  2 Fe 2.22

Summary:
energy of formation: 590 meV/atom
volume: 22.3 A^3/atom
calculated total energy: -6.70 eV/atom
magnetic moment: 0.358 μB/atom

---

Which value of magnetic moment does entry 1 give?
0.000 μB/atom